[1]
! PaInHgAu | Alexandria | PBE-GGA | relaxed; values from VASP
! Magnetization: 0.2 μB/cell
! ρ: 13.46 Mg/m³
! Energy of formation from the pure elements: -0.186 eV per atom
! E: -4.139 eV per atom
&SYSTEM
  ibrav = 0, nat = 4, ntyp = 4
/
ATOMIC_SPECIES
Pa 231.04 Pa.upf
In 114.82 In.upf
Hg 200.59 Hg.upf
Au 196.97 Au.upf
ATOMIC_POSITIONS angstrom
Pa 0.000 0.000 0.000
In 3.579 3.579 3.579
Hg 1.790 1.790 1.790
Au 5.369 5.369 5.369
CELL_PARAMETERS angstrom
0.000 3.579 3.579
3.579 0.000 3.579
3.579 3.579 0.000

[2]
! InHg2Pb2Au7 | Alexandria | PBE-GGA | relaxed; values from VASP
! Magnetization: 0.0 μB/cell
! ρ: 14.19 Mg/m³
! Energy of formation from the pure elements: -0.010 eV per atom
! E: -2.818 eV per atom
&SYSTEM
  ibrav = 0, nat = 12, ntyp = 4
/
ATOMIC_SPECIES
In 114.82 In.upf
Hg 200.59 Hg.upf
Pb 207.20 Pb.upf
Au 196.97 Au.upf
ATOMIC_POSITIONS angstrom
In 0.000 0.000 0.000
Hg 1.072 0.000 11.784
Hg 2.898 0.000 4.316
Pb 0.028 0.000 6.099
Pb 3.942 0.000 10.001
Au 1.461 1.442 2.230
Au 0.888 0.000 8.927
Au 2.509 1.442 13.870
Au 2.915 0.000 0.000
Au 1.461 -1.442 2.230
Au 3.082 0.000 7.173
Au 2.509 -1.442 13.870
CELL_PARAMETERS angstrom
2.915 -2.878 0.000
2.915 2.878 0.000
-1.861 0.000 16.100

[3]
! InHgPbAu2 | Alexandria | PBE-GGA | relaxed; values from VASP
! Magnetization: 0.0 μB/cell
! ρ: 12.05 Mg/m³
! Energy of formation from the pure elements: -0.067 eV per atom
! E: -2.728 eV per atom
&SYSTEM
  ibrav = 0, nat = 10, ntyp = 4
/
ATOMIC_SPECIES
In 114.82 In.upf
Hg 200.59 Hg.upf
Pb 207.20 Pb.upf
Au 196.97 Au.upf
ATOMIC_POSITIONS angstrom
In -0.292 0.000 1.723
In 11.153 0.000 5.854
Hg 4.858 0.000 1.390
Hg 6.003 0.000 6.186
Pb 0.978 0.000 5.104
Pb 9.883 0.000 2.473
Au 2.171 0.000 0.418
Au 3.879 0.000 4.160
Au 6.982 0.000 3.417
Au 8.690 0.000 7.159
CELL_PARAMETERS angstrom
7.365 -2.263 0.000
7.365 2.263 0.000
-3.868 0.000 7.577

[4]
! PmInHgAu | Alexandria | PBE-GGA | relaxed; values from VASP
! Magnetization: 0.0 μB/cell
! ρ: 11.50 Mg/m³
! Energy of formation from the pure elements: -0.551 eV per atom
! E: -3.318 eV per atom
&SYSTEM
  ibrav = 0, nat = 4, ntyp = 4
/
ATOMIC_SPECIES
Pm 145.00 Pm.upf
In 114.82 In.upf
Hg 200.59 Hg.upf
Au 196.97 Au.upf
ATOMIC_POSITIONS angstrom
Pm 0.000 0.000 0.000
In 3.621 3.621 3.621
Hg 1.810 1.810 1.810
Au 5.431 5.431 5.431
CELL_PARAMETERS angstrom
0.000 3.621 3.621
3.621 0.000 3.621
3.621 3.621 0.000

[5]
! Pm2InHgAu4 | Alexandria | PBE-GGA | relaxed; values from VASP
! Magnetization: 0.0 μB/cell
! ρ: 12.89 Mg/m³
! Energy of formation from the pure elements: -0.642 eV per atom
! E: -3.848 eV per atom
&SYSTEM
  ibrav = 0, nat = 8, ntyp = 4
/
ATOMIC_SPECIES
Pm 145.00 Pm.upf
In 114.82 In.upf
Hg 200.59 Hg.upf
Au 196.97 Au.upf
ATOMIC_POSITIONS angstrom
Pm 0.000 0.000 6.056
Pm 0.000 0.000 18.395
In 0.000 0.000 0.000
Hg 0.000 0.000 12.226
Au 0.000 0.000 2.951
Au 0.000 0.000 9.117
Au 0.000 0.000 15.335
Au 0.000 0.000 21.501
CELL_PARAMETERS angstrom
2.521 1.456 8.151
-2.521 1.456 8.151
0.000 -2.911 8.151

[6]
! Pm4In2HgAu | Alexandria | PBE-GGA | relaxed; values from VASP
! Magnetization: 1.2 μB/cell
! ρ: 9.01 Mg/m³
! Energy of formation from the pure elements: -0.526 eV per atom
! E: -4.033 eV per atom
&SYSTEM
  ibrav = 0, nat = 8, ntyp = 4
/
ATOMIC_SPECIES
Pm 145.00 Pm.upf
In 114.82 In.upf
Hg 200.59 Hg.upf
Au 196.97 Au.upf
ATOMIC_POSITIONS angstrom
Pm 0.000 0.000 3.208
Pm 0.000 0.000 9.826
Pm 0.000 0.000 16.607
Pm 0.000 0.000 23.225
In 0.000 0.000 6.532
In 0.000 0.000 19.901
Hg 0.000 0.000 13.216
Au 0.000 0.000 0.000
CELL_PARAMETERS angstrom
2.699 1.558 8.811
-2.699 1.558 8.811
0.000 -3.117 8.811

[7]
! Pr4In2HgAu | Alexandria | PBE-GGA | relaxed; values from VASP
! Magnetization: 1.4 μB/cell
! ρ: 8.54 Mg/m³
! Energy of formation from the pure elements: -0.515 eV per atom
! E: -4.037 eV per atom
&SYSTEM
  ibrav = 0, nat = 8, ntyp = 4
/
ATOMIC_SPECIES
Pr 140.91 Pr.upf
In 114.82 In.upf
Hg 200.59 Hg.upf
Au 196.97 Au.upf
ATOMIC_POSITIONS angstrom
Pr 0.000 0.000 3.249
Pr 0.000 0.000 9.959
Pr 0.000 0.000 16.841
Pr 0.000 0.000 23.551
In 0.000 0.000 6.614
In 0.000 0.000 20.186
Hg 0.000 0.000 13.400
Au 0.000 0.000 0.000
CELL_PARAMETERS angstrom
2.736 1.580 8.933
-2.736 1.580 8.933
0.000 -3.159 8.933

[8]
! Pr4InHg2Au | Alexandria | PBE-GGA | relaxed; values from VASP
! Magnetization: 0.8 μB/cell
! ρ: 9.33 Mg/m³
! Energy of formation from the pure elements: -0.535 eV per atom
! E: -3.752 eV per atom
&SYSTEM
  ibrav = 0, nat = 8, ntyp = 4
/
ATOMIC_SPECIES
Pr 140.91 Pr.upf
In 114.82 In.upf
Hg 200.59 Hg.upf
Au 196.97 Au.upf
ATOMIC_POSITIONS angstrom
Pr 0.000 0.000 3.170
Pr 0.000 0.000 9.847
Pr 0.000 0.000 16.749
Pr 0.000 0.000 23.426
In 0.000 0.000 13.298
Hg 0.000 0.000 6.476
Hg 0.000 0.000 20.119
Au 0.000 0.000 0.000
CELL_PARAMETERS angstrom
2.720 1.570 8.865
-2.720 1.570 8.865
0.000 -3.141 8.865

For reference, calculated volume by record: 22.93; 22.52; 25.26; 23.74; 22.43; 27.80; 28.95; 28.40 A^3/atom.